No. 1
{
  "formula": "TlCdIn2",
  "functional": "PBE",
  "state": "relaxed",
  "cell": [[3.3260, 0.0000, 0.0000], [0.0000, 5.7023, 0.0000], [-0.5358, 0.0000, 5.8001]],
  "species": ["Tl", "Cd", "In", "In"],
  "fractional_positions": [[0.0000, 0.0000, 0.0000], [0.5000, 0.0000, 0.5000], [0.2943, 0.5000, 0.7452], [0.7057, 0.5000, 0.2548]],
  "volume_a3_per_atom": 27.50,
  "delta_e_f_mev_per_atom": 44,
  "sg": "P2/m (10)",
  "dos_ef_per_ev_fu": 1.8
}

No. 2
{
  "formula": "Tl5CdIn",
  "functional": "PBE",
  "state": "relaxed",
  "cell": [[5.1172, 0.0000, 0.0000], [0.0000, 5.1172, 0.0000], [0.0000, 0.0000, 8.3447]],
  "species": ["Tl", "Tl", "Tl", "Tl", "Tl", "Cd", "In"],
  "fractional_positions": [[0.0000, 0.0000, 0.0000], [0.0000, 0.5000, 0.2717], [0.0000, 0.5000, 0.7283], [0.5000, 0.0000, 0.2717], [0.5000, 0.0000, 0.7283], [0.5000, 0.5000, 0.5000], [0.5000, 0.5000, 0.0000]],
  "volume_a3_per_atom": 31.22,
  "delta_e_f_mev_per_atom": 63,
  "sg": "P4/mmm (123)",
  "dos_ef_per_ev_fu": 4.1
}

No. 3
{
  "formula": "TlCdIn2",
  "functional": "PBE",
  "state": "relaxed",
  "cell": [[-1.8260, 2.7167, 5.5440], [1.8260, -2.7167, 5.5440], [1.8260, 2.7167, -5.5440]],
  "species": ["Tl", "Cd", "In", "In"],
  "fractional_positions": [[0.0000, 0.0000, 0.0000], [0.5000, 0.5000, 0.0000], [0.2642, 0.7642, 0.5000], [0.7358, 0.2358, 0.5000]],
  "volume_a3_per_atom": 27.50,
  "delta_e_f_mev_per_atom": 42,
  "sg": "Immm (71)",
  "dos_ef_per_ev_fu": 1.7
}

No. 4
{
  "formula": "TlCdIn2",
  "functional": "PBE",
  "state": "relaxed",
  "cell": [[-1.9469, 2.6559, 5.3083], [1.9469, -2.6559, 5.3083], [1.9469, 2.6559, -5.3083]],
  "species": ["Tl", "Cd", "In", "In"],
  "fractional_positions": [[0.0000, 0.0000, 0.0000], [0.2515, 0.7515, 0.5000], [0.4875, 0.4875, 0.0000], [0.7380, 0.2380, 0.5000]],
  "volume_a3_per_atom": 27.45,
  "delta_e_f_mev_per_atom": 47,
  "sg": "Imm2 (44)",
  "dos_ef_per_ev_fu": 1.3
}

No. 5
{
  "formula": "TlCd2In4",
  "functional": "PBE",
  "state": "relaxed",
  "cell": [[5.0086, -3.8696, 0.0000], [5.0086, 3.8696, 0.0000], [-2.8108, 0.0000, 4.9284]],
  "species": ["Tl", "Cd", "Cd", "In", "In", "In", "In"],
  "fractional_positions": [[0.0000, 0.0000, 0.0000], [0.4933, 0.4933, 0.7477], [0.5067, 0.5067, 0.2523], [0.0057, 0.6100, 0.3022], [0.3900, 0.9943, 0.6978], [0.6100, 0.0057, 0.3022], [0.9943, 0.3900, 0.6978]],
  "volume_a3_per_atom": 27.29,
  "delta_e_f_mev_per_atom": 33,
  "sg": "C2/m (12)",
  "dos_ef_per_ev_fu": 1.4,
  "polymorph_energy_mev_per_atom": 0.0
}

No. 6
{
  "formula": "Tl4CdIn10",
  "functional": "PBE",
  "state": "relaxed",
  "cell": [[-5.0818, 5.0818, 4.4208], [5.0818, -5.0818, 4.4208], [5.0818, 5.0818, -4.4208]],
  "species": ["Tl", "Tl", "Tl", "Tl", "Cd", "In", "In", "In", "In", "In", "In", "In", "In", "In", "In"],
  "fractional_positions": [[0.0495, 0.2328, 0.2823], [0.2328, 0.9505, 0.1833], [0.7672, 0.0495, 0.8167], [0.9505, 0.7672, 0.7177], [0.5000, 0.5000, 0.0000], [0.0954, 0.2021, 0.6689], [0.2021, 0.5333, 0.1068], [0.2500, 0.7500, 0.5000], [0.4265, 0.0954, 0.8932], [0.4667, 0.5735, 0.6689], [0.5333, 0.4265, 0.3311], [0.5735, 0.9046, 0.1068], [0.7500, 0.2500, 0.5000], [0.7979, 0.4667, 0.8932], [0.9046, 0.7979, 0.3311]],
  "volume_a3_per_atom": 30.44,
  "delta_e_f_mev_per_atom": 99,
  "sg": "I4/m (87)",
  "dos_ef_per_ev_fu": 6.2
}

No. 7
{
  "formula": "TlCd12In6",
  "functional": "PBE",
  "state": "relaxed",
  "cell": [[6.7884, 3.9193, 3.1636], [-6.7884, 3.9193, 3.1636], [0.0000, -7.8386, 3.1636]],
  "species": ["Tl", "Cd", "Cd", "Cd", "Cd", "Cd", "Cd", "Cd", "Cd", "Cd", "Cd", "Cd", "Cd", "In", "In", "In", "In", "In", "In"],
  "fractional_positions": [[0.0000, 0.0000, 0.0000], [0.1075, 0.3449, 0.3449], [0.1103, 0.5000, 0.8897], [0.1103, 0.8897, 0.5000], [0.3449, 0.1075, 0.3449], [0.3449, 0.3449, 0.1075], [0.5000, 0.1103, 0.8897], [0.5000, 0.8897, 0.1103], [0.6551, 0.6551, 0.8925], [0.6551, 0.8925, 0.6551], [0.8897, 0.1103, 0.5000], [0.8897, 0.5000, 0.1103], [0.8925, 0.6551, 0.6551], [0.2931, 0.6912, 0.6912], [0.3088, 0.3088, 0.7069], [0.3088, 0.7069, 0.3088], [0.6912, 0.2931, 0.6912], [0.6912, 0.6912, 0.2931], [0.7069, 0.3088, 0.3088]],
  "volume_a3_per_atom": 26.58,
  "delta_e_f_mev_per_atom": 77,
  "sg": "R-3m (166)",
  "dos_ef_per_ev_fu": 4.9,
  "polymorph_energy_mev_per_atom": 45.3
}

No. 8
{
  "formula": "TlCd3In3",
  "functional": "PBE",
  "state": "relaxed",
  "cell": [[8.0819, 0.0000, 0.0000], [0.0000, 8.0819, 0.0000], [0.0000, 0.0000, 8.0819]],
  "species": ["Tl", "Tl", "Cd", "Cd", "Cd", "Cd", "Cd", "Cd", "In", "In", "In", "In", "In", "In"],
  "fractional_positions": [[0.0000, 0.0000, 0.0000], [0.5000, 0.5000, 0.5000], [0.0000, 0.2500, 0.5000], [0.0000, 0.7500, 0.5000], [0.2500, 0.5000, 0.0000], [0.5000, 0.0000, 0.2500], [0.5000, 0.0000, 0.7500], [0.7500, 0.5000, 0.0000], [0.0000, 0.5000, 0.2500], [0.0000, 0.5000, 0.7500], [0.2500, 0.0000, 0.5000], [0.5000, 0.2500, 0.0000], [0.5000, 0.7500, 0.0000], [0.7500, 0.0000, 0.5000]],
  "volume_a3_per_atom": 37.71,
  "delta_e_f_mev_per_atom": 329,
  "sg": "Pm-3n (223)",
  "dos_ef_per_ev_fu": 5.5,
  "polymorph_energy_mev_per_atom": 278.6
}

No. 9
{
  "formula": "Tl12Cd5In3",
  "functional": "PBE",
  "state": "relaxed",
  "cell": [[-8.8815, 8.8815, 8.8815], [8.8815, -8.8815, 8.8815], [8.8815, 8.8815, -8.8815]],
  "species": ["Tl", "Tl", "Tl", "Tl", "Tl", "Tl", "Tl", "Tl", "Tl", "Tl", "Tl", "Tl", "Tl", "Tl", "Tl", "Tl", "Tl", "Tl", "Tl", "Tl", "Tl", "Tl", "Tl", "Tl", "Tl", "Tl", "Tl", "Tl", "Tl", "Tl", "Tl", "Tl", "Tl", "Tl", "Tl", "Tl", "Tl", "Tl", "Tl", "Tl", "Tl", "Tl", "Tl", "Tl", "Tl", "Tl", "Tl", "Tl", "Cd", "Cd", "Cd", "Cd", "Cd", "Cd", "Cd", "Cd", "Cd", "Cd", "Cd", "Cd", "Cd", "Cd", "Cd", "Cd", "Cd", "Cd", "Cd", "Cd", "In", "In", "In", "In", "In", "In", "In", "In", "In", "In", "In", "In"],
  "fractional_positions": [[0.0595, 0.2275, 0.1320], [0.0595, 0.3321, 0.9276], [0.0724, 0.6320, 0.4045], [0.0724, 0.9405, 0.6679], [0.0955, 0.7275, 0.6679], [0.0955, 0.8680, 0.4276], [0.1320, 0.0595, 0.2275], [0.1320, 0.5724, 0.9045], [0.1679, 0.2275, 0.5955], [0.1679, 0.4405, 0.5724], [0.2275, 0.1320, 0.0595], [0.2275, 0.5955, 0.1679], [0.2725, 0.3321, 0.9045], [0.2725, 0.4405, 0.3680], [0.3321, 0.9045, 0.2725], [0.3321, 0.9276, 0.0595], [0.3680, 0.2725, 0.4405], [0.3680, 0.5955, 0.9276], [0.4045, 0.0724, 0.6320], [0.4045, 0.8321, 0.7725], [0.4276, 0.0955, 0.8680], [0.4276, 0.8321, 0.5595], [0.4405, 0.3680, 0.2725], [0.4405, 0.5724, 0.1679], [0.5595, 0.4276, 0.8321], [0.5595, 0.6320, 0.7275], [0.5724, 0.1679, 0.4405], [0.5724, 0.9045, 0.1320], [0.5955, 0.1679, 0.2275], [0.5955, 0.9276, 0.3680], [0.6320, 0.4045, 0.0724], [0.6320, 0.7275, 0.5595], [0.6679, 0.0724, 0.9405], [0.6679, 0.0955, 0.7275], [0.7275, 0.5595, 0.6320], [0.7275, 0.6679, 0.0955], [0.7725, 0.4045, 0.8321], [0.7725, 0.8680, 0.9405], [0.8321, 0.5595, 0.4276], [0.8321, 0.7725, 0.4045], [0.8680, 0.4276, 0.0955], [0.8680, 0.9405, 0.7725], [0.9045, 0.1320, 0.5724], [0.9045, 0.2725, 0.3321], [0.9276, 0.0595, 0.3321], [0.9276, 0.3680, 0.5955], [0.9405, 0.6679, 0.0724], [0.9405, 0.7725, 0.8680], [0.0000, 0.0000, 0.0000], [0.0000, 0.0000, 0.5000], [0.0000, 0.5000, 0.0000], [0.0000, 0.5000, 0.5000], [0.1250, 0.7500, 0.8750], [0.1250, 0.8750, 0.2500], [0.2500, 0.1250, 0.8750], [0.2500, 0.6250, 0.3750], [0.3750, 0.2500, 0.6250], [0.3750, 0.6250, 0.7500], [0.5000, 0.0000, 0.0000], [0.5000, 0.0000, 0.5000], [0.5000, 0.5000, 0.0000], [0.5000, 0.5000, 0.5000], [0.6250, 0.3750, 0.2500], [0.6250, 0.7500, 0.3750], [0.7500, 0.3750, 0.6250], [0.7500, 0.8750, 0.1250], [0.8750, 0.1250, 0.7500], [0.8750, 0.2500, 0.1250], [0.1250, 0.2500, 0.3750], [0.1250, 0.3750, 0.7500], [0.2500, 0.3750, 0.1250], [0.2500, 0.8750, 0.6250], [0.3750, 0.1250, 0.2500], [0.3750, 0.7500, 0.1250], [0.6250, 0.2500, 0.8750], [0.6250, 0.8750, 0.7500], [0.7500, 0.1250, 0.3750], [0.7500, 0.6250, 0.8750], [0.8750, 0.6250, 0.2500], [0.8750, 0.7500, 0.6250]],
  "volume_a3_per_atom": 35.03,
  "delta_e_f_mev_per_atom": 192,
  "sg": "Ia-3d (230)",
  "dos_ef_per_ev_fu": 12.6
}

No. 10
{
  "formula": "TlCd4In3",
  "functional": "PBE",
  "state": "relaxed",
  "cell": [[10.3261, 0.0000, 0.0000], [0.0000, 6.6555, 0.0000], [0.0000, 0.0000, 6.0270]],
  "species": ["Tl", "Tl", "Cd", "Cd", "Cd", "Cd", "Cd", "Cd", "Cd", "Cd", "In", "In", "In", "In", "In", "In"],
  "fractional_positions": [[0.0000, 0.0000, 0.0000], [0.5000, 0.0000, 0.0000], [0.0000, 0.2548, 0.5000], [0.0000, 0.7452, 0.5000], [0.2500, 0.2567, 0.1756], [0.2500, 0.7433, 0.1756], [0.5000, 0.2548, 0.5000], [0.5000, 0.7452, 0.5000], [0.7500, 0.2567, 0.8244], [0.7500, 0.7433, 0.8244], [0.0000, 0.5000, 0.0000], [0.2500, 0.0000, 0.6394], [0.2500, 0.5000, 0.6709], [0.5000, 0.5000, 0.0000], [0.7500, 0.0000, 0.3606], [0.7500, 0.5000, 0.3291]],
  "volume_a3_per_atom": 25.89,
  "delta_e_f_mev_per_atom": 43,
  "sg": "Pmma (51)",
  "dos_ef_per_ev_fu": 2.9
}

No. 11
{
  "formula": "Tl2CdIn",
  "functional": "PBE",
  "state": "relaxed",
  "cell": [[3.4589, -4.7302, 0.0000], [3.4589, 4.7302, 0.0000], [0.0000, 0.0000, 3.4078]],
  "species": ["Tl", "Tl", "Cd", "In"],
  "fractional_positions": [[0.0000, 0.5000, 0.0000], [0.5000, 0.0000, 0.0000], [0.0000, 0.0000, 0.5000], [0.5000, 0.5000, 0.5000]],
  "volume_a3_per_atom": 27.88,
  "delta_e_f_mev_per_atom": 37,
  "sg": "Cmmm (65)",
  "dos_ef_per_ev_fu": 1.2,
  "polymorph_energy_mev_per_atom": 17.0
}

No. 12
{
  "formula": "Tl2Cd2In",
  "functional": "PBE",
  "state": "relaxed",
  "cell": [[4.9566, 0.0000, 0.0000], [0.0000, 3.3349, 0.0000], [-2.4387, 0.0000, 8.3319]],
  "species": ["Tl", "Tl", "Cd", "Cd", "In"],
  "fractional_positions": [[0.1066, 0.0000, 0.2157], [0.8934, 0.0000, 0.7843], [0.3009, 0.5000, 0.6008], [0.6991, 0.5000, 0.3992], [0.5000, 0.5000, 0.0000]],
  "volume_a3_per_atom": 27.54,
  "delta_e_f_mev_per_atom": 47,
  "sg": "P2/m (10)",
  "dos_ef_per_ev_fu": 2.0,
  "polymorph_energy_mev_per_atom": 8.9
}